Computed, not measured: crystalline AlCdTe at its relaxed geometry at the PBE-GGA level of DFT.

As for the density: 5.9 g/cm3. Its formation energy (no corrections) is 0.1111 eV per atom. As for the energy above the lowest structure with this stoichiometry: 0.2093 eV per atom.

Geometry as CIF:
```
data_AlCdTe
_cell_length_a 3.547
_cell_length_b 3.547
_cell_length_c 11.866
_cell_angle_alpha 90.00
_cell_angle_beta 90.00
_cell_angle_gamma 90.00
_space_group_name_H-M_alt 'I 4 m m'
_space_group_IT_number 107
_space_group_name_Hall 'I 4 -2'
loop_
_atom_site_label
_atom_site_type_symbol
_atom_site_fract_x
_atom_site_fract_y
_atom_site_fract_z
_atom_site_occupancy
Al1 Al 0.000 0.000 0.000 1
Cd1 Cd 0.000 0.000 0.338 1
Te1 Te 0.000 0.000 0.629 1
```



Computed, not measured: crystalline AlCd3Te4 at its relaxed geometry at the PBE-GGA level of DFT.

As for the density: 5.0 g/cm3. Its formation energy (no corrections) is -0.3360 eV per atom. As for the energy above the lowest structure with this stoichiometry: 0.0021 eV per atom.

Geometry as CIF:
```
data_AlCd3Te4
_cell_length_a 6.610
_cell_length_b 6.610
_cell_length_c 6.610
_cell_angle_alpha 90.00
_cell_angle_beta 90.00
_cell_angle_gamma 90.00
_space_group_name_H-M_alt 'P -4 3 m'
_space_group_IT_number 215
_space_group_name_Hall 'P -4 2 3'
loop_
_atom_site_label
_atom_site_type_symbol
_atom_site_fract_x
_atom_site_fract_y
_atom_site_fract_z
_atom_site_occupancy
Al1 Al 0.000 0.000 0.000 1
Cd1 Cd 0.000 0.500 0.500 1
Te1 Te 0.240 0.240 0.240 1
```



Computed, not measured: crystalline AlCdTe at its relaxed geometry at the PBE-GGA level of DFT.

As for the density: 5.8 g/cm3. Its formation energy (no corrections) is 0.2131 eV per atom. As for the energy above the lowest structure with this stoichiometry: 0.3113 eV per atom.

Geometry as CIF:
```
data_AlCdTe
_cell_length_a 3.663
_cell_length_b 5.344
_cell_length_c 15.568
_cell_angle_alpha 90.00
_cell_angle_beta 90.00
_cell_angle_gamma 90.00
_space_group_name_H-M_alt 'F m m 2'
_space_group_IT_number 42
_space_group_name_Hall 'F 2 -2'
loop_
_atom_site_label
_atom_site_type_symbol
_atom_site_fract_x
_atom_site_fract_y
_atom_site_fract_z
_atom_site_occupancy
Al1 Al 0.000 0.000 0.000 1
Cd1 Cd 0.000 0.000 0.659 1
Te1 Te 0.000 0.000 0.357 1
```



Computed, not measured: crystalline AlCdTe at its relaxed geometry at the PBE-GGA level of DFT.

As for the density: 5.6 g/cm3. Its formation energy (no corrections) is -0.0982 eV per atom. As for the energy above the lowest structure with this stoichiometry: 0.0000 eV per atom.

Geometry as CIF:
```
data_AlCdTe
_cell_length_a 4.0331
_cell_length_b 4.0331
_cell_length_c 5.6449
_cell_angle_alpha 90.00
_cell_angle_beta 90.00
_cell_angle_gamma 120.00
_space_group_name_H-M_alt 'P 3 m 1'
_space_group_IT_number 156
loop_
_space_group_symop_operation_xyz
'x,y,z'
'-y,x-y,z'
'-x+y,-x,z'
'-y,-x,z'
'-x+y,y,z'
'x,x-y,z'
loop_
_atom_site_label
_atom_site_type_symbol
_atom_site_fract_x
_atom_site_fract_y
_atom_site_fract_z
_atom_site_occupancy
Al1 Al 0.0000 0.0000 0.0000 1
Cd1 Cd 0.6667 0.3333 0.3162 1
Te1 Te 0.3333 0.6667 0.7285 1
```



Computed, not measured: crystalline AlCdTe at its relaxed geometry at the PBE-GGA level of DFT.

As for the density: 5.3 g/cm3. Its formation energy (no corrections) is 0.1527 eV per atom. As for the energy above the lowest structure with this stoichiometry: 0.2509 eV per atom.

Geometry as CIF:
```
data_AlCdTe
_cell_length_a 6.948
_cell_length_b 6.948
_cell_length_c 6.948
_cell_angle_alpha 90.00
_cell_angle_beta 90.00
_cell_angle_gamma 90.00
_space_group_name_H-M_alt 'F -4 3 m'
_space_group_IT_number 216
_space_group_name_Hall 'F -4 2 3'
loop_
_atom_site_label
_atom_site_type_symbol
_atom_site_fract_x
_atom_site_fract_y
_atom_site_fract_z
_atom_site_occupancy
Al1 Al 0.000 0.000 0.000 1
Cd1 Cd 0.250 0.250 0.250 1
Te1 Te 0.250 0.250 0.750 1
```



Computed, not measured: crystalline AlCdTe at its relaxed geometry at the PBE-GGA level of DFT.

As for the density: 5.9 g/cm3. Its formation energy (no corrections) is 0.1847 eV per atom. As for the energy above the lowest structure with this stoichiometry: 0.2829 eV per atom.

Geometry as CIF:
```
data_AlCdTe
_cell_length_a 5.3583
_cell_length_b 5.3583
_cell_length_c 3.0170
_cell_angle_alpha 90.00
_cell_angle_beta 90.00
_cell_angle_gamma 120.00
_space_group_name_H-M_alt 'P 3 m 1'
_space_group_IT_number 156
loop_
_space_group_symop_operation_xyz
'x,y,z'
'-y,x-y,z'
'-x+y,-x,z'
'-y,-x,z'
'-x+y,y,z'
'x,x-y,z'
loop_
_atom_site_label
_atom_site_type_symbol
_atom_site_fract_x
_atom_site_fract_y
_atom_site_fract_z
_atom_site_occupancy
Al1 Al 0.0000 0.0000 0.0000 1
Cd1 Cd 0.6667 0.3333 0.5125 1
Te1 Te 0.3333 0.6667 0.9981 1
```



Computed, not measured: crystalline Al4CdTe7 at its relaxed geometry at the PBE-GGA level of DFT.

As for the density: 4.0 g/cm3. Its formation energy (no corrections) is -0.3993 eV per atom.

Geometry as CIF:
```
data_Al4CdTe7
_cell_length_a 17.419
_cell_length_b 7.414
_cell_length_c 7.087
_cell_angle_alpha 90.00
_cell_angle_beta 90.00
_cell_angle_gamma 90.00
_space_group_name_H-M_alt 'P m n 21'
_space_group_IT_number 31
loop_
_space_group_symop_operation_xyz
'x,y,z'
'-x+1/2,-y,z+1/2'
'-x,y,z'
'x+1/2,-y,z+1/2'
loop_
_atom_site_label
_atom_site_type_symbol
_atom_site_fract_x
_atom_site_fract_y
_atom_site_fract_z
_atom_site_occupancy
Al1 Al 0.126 0.173 0.000 1
Al2 Al 0.244 0.330 0.470 1
Cd1 Cd 0.000 0.658 0.917 1
Te1 Te 0.000 0.293 0.822 1
Te2 Te 0.115 0.192 0.362 1
Te3 Te 0.135 0.847 0.836 1
Te4 Te 0.247 0.674 0.353 1
```



Computed, not measured: crystalline AlCdTe3 at its relaxed geometry at the PBE-GGA level of DFT.

As for the density: 5.6 g/cm3. Its formation energy (no corrections) is 0.2183 eV per atom. As for the energy above the lowest structure with this stoichiometry: 0.5274 eV per atom.

Geometry as CIF:
```
data_AlCdTe3
_cell_length_a 5.362
_cell_length_b 5.362
_cell_length_c 5.362
_cell_angle_alpha 90.00
_cell_angle_beta 90.00
_cell_angle_gamma 90.00
_space_group_name_H-M_alt 'P m -3 m'
_space_group_IT_number 221
_space_group_name_Hall '-P 4 2 3'
loop_
_atom_site_label
_atom_site_type_symbol
_atom_site_fract_x
_atom_site_fract_y
_atom_site_fract_z
_atom_site_occupancy
Al1 Al 0.000 0.000 0.000 1
Cd1 Cd 0.500 0.500 0.500 1
Te1 Te 0.000 0.000 0.500 1
```



Computed, not measured: crystalline Al3CdTe at its relaxed geometry at the PBE-GGA level of DFT.

As for the density: 4.0 g/cm3. Its formation energy (no corrections) is 0.4851 eV per atom. As for the energy above the lowest structure with this stoichiometry: 0.0000 eV per atom.

Geometry as CIF:
```
data_Al3CdTe
_cell_length_a 5.111
_cell_length_b 5.111
_cell_length_c 5.111
_cell_angle_alpha 90.00
_cell_angle_beta 90.00
_cell_angle_gamma 90.00
_space_group_name_H-M_alt 'P m -3 m'
_space_group_IT_number 221
_space_group_name_Hall '-P 4 2 3'
loop_
_atom_site_label
_atom_site_type_symbol
_atom_site_fract_x
_atom_site_fract_y
_atom_site_fract_z
_atom_site_occupancy
Al1 Al 0.000 0.000 0.500 1
Cd1 Cd 0.000 0.000 0.000 1
Te1 Te 0.500 0.500 0.500 1
```



Computed, not measured: crystalline AlCd4Te6 at its relaxed geometry at the PBE-GGA level of DFT.

As for the density: 5.5 g/cm3. Its formation energy (no corrections) is -0.3244 eV per atom.

Geometry as CIF:
```
data_AlCd4Te6
_cell_length_a 13.629
_cell_length_b 8.164
_cell_length_c 14.277
_cell_angle_alpha 90.00
_cell_angle_beta 108.45
_cell_angle_gamma 90.00
_space_group_name_H-M_alt 'C 1 c 1'
_space_group_IT_number 9
loop_
_space_group_symop_operation_xyz
'x,y,z'
'x,-y,z+1/2'
'x+1/2,y+1/2,z'
'x+1/2,-y+1/2,z+1/2'
loop_
_atom_site_label
_atom_site_type_symbol
_atom_site_fract_x
_atom_site_fract_y
_atom_site_fract_z
_atom_site_occupancy
Al1 Al 0.000 0.236 0.000 1
Cd1 Cd 0.074 0.073 0.764 1
Cd2 Cd 0.238 0.393 0.257 1
Cd3 Cd 0.257 0.103 0.569 1
Cd4 Cd 0.441 0.194 0.918 1
Te1 Te 0.131 0.224 0.378 1
Te2 Te 0.203 0.248 0.063 1
Te3 Te 0.255 0.254 0.754 1
Te4 Te 0.432 0.213 0.313 1
Te5 Te 0.438 0.467 0.060 1
Te6 Te 0.465 0.006 0.591 1
```



Computed, not measured: crystalline AlCdTe3 at its relaxed geometry at the PBE-GGA level of DFT.

As for the density: 5.1 g/cm3. Its formation energy (no corrections) is -0.3090 eV per atom. As for the energy above the lowest structure with this stoichiometry: 0.0000 eV per atom.

Geometry as CIF:
```
data_AlCdTe3
_cell_length_a 6.993
_cell_length_b 4.383
_cell_length_c 11.197
_cell_angle_alpha 90.00
_cell_angle_beta 98.81
_cell_angle_gamma 90.00
_space_group_name_H-M_alt 'P 1 21/m 1'
_space_group_IT_number 11
loop_
_space_group_symop_operation_xyz
'x,y,z'
'-x,-y,-z'
'-x,y+1/2,-z'
'x,-y+1/2,z'
loop_
_atom_site_label
_atom_site_type_symbol
_atom_site_fract_x
_atom_site_fract_y
_atom_site_fract_z
_atom_site_occupancy
Al1 Al 0.034 0.250 0.385 1
Cd1 Cd 0.347 0.250 0.900 1
Te1 Te 0.054 0.750 0.850 1
Te2 Te 0.242 0.750 0.473 1
Te3 Te 0.411 0.250 0.166 1
```



Computed, not measured: crystalline Th2AlCd3 at its relaxed geometry at the PBE-GGA level of DFT.

As for the density: 8.7 g/cm3. The formation energy from the elements comes out at -0.112 eV per atom.

Geometry as CIF:
```
data_Th2AlCd3
_cell_length_a 3.849
_cell_length_b 4.952
_cell_length_c 16.633
_cell_angle_alpha 90.00
_cell_angle_beta 90.00
_cell_angle_gamma 90.00
_space_group_name_H-M_alt 'I m m 2'
_space_group_IT_number 44
loop_
_space_group_symop_operation_xyz
'x,y,z'
'-x,-y,z'
'-x,y,z'
'x,-y,z'
'x+1/2,y+1/2,z+1/2'
'-x+1/2,-y+1/2,z+1/2'
'-x+1/2,y+1/2,z+1/2'
'x+1/2,-y+1/2,z+1/2'
loop_
_atom_site_label
_atom_site_type_symbol
_atom_site_fract_x
_atom_site_fract_y
_atom_site_fract_z
_atom_site_occupancy
Th1 Th 0.000 0.000 0.000 1
Th2 Th 0.000 0.500 0.291 1
Al1 Al 0.000 0.000 0.450 1
Cd1 Cd 0.000 0.000 0.609 1
Cd2 Cd 0.000 0.500 0.680 1
Cd3 Cd 0.000 0.500 0.846 1
```



In the order shown, the computed calculated total energy values come out to -2.489; -2.718; -2.387; -2.698; -2.447; -2.415; -3.556; -2.598; -2.572; -2.711; -3.126; -3.667 eV/atom.